Run A
Density functional theory data (PBE) for a relaxed structure of Ce2PmCo.

Cell lengths 6.0940, 9.5915, 13.6963 Å; angles 90.00, 90.00, 90.00 degrees
With the nearest neighbours (Å) after each atom.
Fractional positions:
Ce 0.0753 0.0676 0.2121  2 Co 2.55-2.64
Ce 0.5753 0.9324 0.2879  2 Co 2.55-2.64
Ce 0.9247 0.5676 0.7879  2 Co 2.55-2.64
Ce 0.4247 0.4324 0.7121  2 Co 2.55-2.64
Ce 0.9247 0.9324 0.7879  2 Co 2.55-2.64
Ce 0.4247 0.0676 0.7121  2 Co 2.55-2.64
Ce 0.0753 0.4324 0.2121  2 Co 2.55-2.64
Ce 0.5753 0.5676 0.2879  2 Co 2.55-2.64
Ce 0.7584 0.5631 0.0376  2 Co 2.56-2.66
Ce 0.2584 0.4369 0.4624  2 Co 2.56-2.66
Ce 0.2416 0.0631 0.9624  2 Co 2.56-2.66
Ce 0.7416 0.9369 0.5376  2 Co 2.56-2.66
Ce 0.2416 0.4369 0.9624  2 Co 2.56-2.66
Ce 0.7416 0.5631 0.5376  2 Co 2.56-2.66
Ce 0.7584 0.9369 0.0376  2 Co 2.56-2.66
Ce 0.2584 0.0631 0.4624  2 Co 2.56-2.66
Pm 0.5593 0.2500 0.1454  3 Co 3.09-3.25
Pm 0.0593 0.7500 0.3546  3 Co 3.09-3.25
Pm 0.4407 0.7500 0.8546  3 Co 3.09-3.25
Pm 0.9407 0.2500 0.6454  3 Co 3.09-3.25
Pm 0.7602 0.2500 0.3980  3 Co 3.09-3.21
Pm 0.2602 0.7500 0.1020  3 Co 3.09-3.21
Pm 0.2398 0.7500 0.6020  3 Co 3.09-3.21
Pm 0.7398 0.2500 0.8980  3 Co 3.09-3.21
Co 0.2641 0.2500 0.3289  4 Ce 2.56-2.64
Co 0.7641 0.7500 0.1711  4 Ce 2.56-2.64
Co 0.7359 0.7500 0.6711  4 Ce 2.56-2.64
Co 0.2359 0.2500 0.8289  4 Ce 2.56-2.64
Co 0.0483 0.2500 0.0768  4 Ce 2.55-2.66
Co 0.5483 0.7500 0.4232  4 Ce 2.55-2.66
Co 0.9517 0.7500 0.9232  4 Ce 2.55-2.66
Co 0.4517 0.2500 0.5768  4 Ce 2.55-2.66

Run B
Density functional theory data (PBE) for a relaxed structure of Ce2PmCo.

Cell lengths 3.5011, 3.5011, 8.2748 Å; angles 90.00, 90.00, 90.00 degrees
With the nearest neighbours (Å) after each atom.
Fractional positions:
Co 0.5000 0.5000 0.0000  8 Ce 2.86
Ce 0.0000 0.0000 0.8273  1 Ce 2.86, 4 Co 2.86
Ce 0.0000 0.0000 0.1727  1 Ce 2.86, 4 Co 2.86
Pm 0.5000 0.5000 0.5000  4 Pm 3.50, 8 Ce 3.67

Run C
Density functional theory data (PBE) for a relaxed structure of Ce2PmCo.

Cell lengths 3.7399, 3.7399, 9.1719 Å; angles 78.24, 78.24, 60.00 degrees
With the nearest neighbours (Å) after each atom.
Fractional positions:
Ce 0.0592 0.0592 0.8225  3 Co 2.68
Ce 0.2747 0.2747 0.1759  3 Co 2.67
Pm 0.4996 0.4996 0.5011  6 Ce 3.59-3.62, 6 Pm 3.74
Co 0.6665 0.6665 0.0005  6 Ce 2.67-2.68

Run D
Density functional theory data (PBE) for a relaxed structure of Ce2PmCo.

Cell lengths 3.6029, 3.6029, 10.0615 Å; angles 79.69, 79.69, 60.00 degrees
With the nearest neighbours (Å) after each atom.
Fractional positions:
Co 0.5000 0.5000 0.5000  6 Ce 2.65
Ce 0.1111 0.1111 0.6668  3 Co 2.65
Ce 0.8889 0.8889 0.3332  3 Co 2.65
Pm 0.0000 0.0000 0.0000  2 Ce 3.28, 6 Pm 3.60

Relative energies in eV/atom: run A 0.000; run B 0.114; run C 0.098; run D 0.243

Run A
Density functional theory data (PBE) for a relaxed structure of Ce3PmCo2.

Cell lengths 4.5002, 8.9589, 7.8269 Å; angles 114.66, 90.00, 104.55 degrees
With the nearest neighbours (Å) after each atom.
Fractional positions:
Ce 0.2998 0.5996 0.5848  2 Co 2.64-2.93, 2 Ce 2.80
Ce 0.9734 0.9468 0.7214  2 Co 2.39
Ce 0.5986 0.1971 0.6419  2 Co 2.53
Ce 0.4014 0.8029 0.3581  2 Co 2.53
Ce 0.0266 0.0532 0.2786  2 Co 2.39
Ce 0.7002 0.4004 0.4152  2 Co 2.64-2.93, 2 Ce 2.80
Pm 0.8224 0.6448 0.9482  1 Co 2.87
Pm 0.1776 0.3552 0.0518  1 Co 2.87
Co 0.4837 0.9675 0.8322  2 Ce 2.39, 1 Co 2.44
Co 0.5163 0.0325 0.1678  2 Ce 2.39, 1 Co 2.44
Co 0.8291 0.6583 0.3207  3 Ce 2.53-2.64
Co 0.1709 0.3417 0.6793  3 Ce 2.53-2.64

Run B
Density functional theory data (PBE) for a relaxed structure of Ce3PmCo2.

Cell lengths 3.9151, 8.2510, 9.5794 Å; angles 115.72, 90.00, 103.72 degrees
With the nearest neighbours (Å) after each atom.
Fractional positions:
Ce 0.6635 0.3270 0.8814  1 Co 2.30
Ce 0.9843 0.9686 0.6323  3 Ce 2.80-2.85, 3 Co 2.86-2.97
Ce 0.3413 0.6826 0.4949  2 Co 2.64, 2 Ce 2.85
Ce 0.6587 0.3174 0.5051  2 Co 2.64, 2 Ce 2.85
Ce 0.0157 0.0314 0.3677  3 Ce 2.80-2.85, 3 Co 2.86-2.97
Ce 0.3365 0.6730 0.1186  1 Co 2.30
Pm 0.1250 0.2500 0.1389  4 Co 2.98-3.08
Pm 0.8750 0.7500 0.8611  4 Co 2.98-3.08
Co 0.5170 0.0339 0.8692  1 Ce 2.30
Co 0.4830 0.9661 0.1308  1 Ce 2.30
Co 0.1846 0.3693 0.7051  4 Ce 2.64-2.70
Co 0.8154 0.6307 0.2949  4 Ce 2.64-2.70

Relative energies in eV/atom: run A 0.039; run B 0.000

Run A
Density functional theory data (PBE) for a relaxed structure of Ce3PmCo.

Cell lengths 5.2485, 5.2485, 5.2485 Å; angles 90.00, 90.00, 90.00 degrees
With the nearest neighbours (Å) after each atom.
Fractional positions:
Co 0.0000 0.0000 0.0000  6 Ce 2.62
Ce 0.0000 0.5000 0.0000  2 Co 2.62
Ce 0.0000 0.0000 0.5000  2 Co 2.62
Ce 0.5000 0.0000 0.0000  2 Co 2.62
Pm 0.5000 0.5000 0.5000  12 Ce 3.71

Run B
Density functional theory data (PBE) for a relaxed structure of Ce3PmCo.

Cell lengths 7.4836, 7.9561, 9.0772 Å; angles 107.80, 90.00, 90.00 degrees
With the nearest neighbours (Å) after each atom.
Fractional positions:
Ce 0.1367 0.0629 0.3985  1 Co 2.31
Ce 0.8633 0.9371 0.6015  1 Co 2.31
Ce 0.6367 0.9371 0.1015  1 Co 2.31
Ce 0.3633 0.0629 0.8985  1 Co 2.31
Ce 0.4714 0.7800 0.3488  2 Co 2.72-2.87, 1 Ce 2.77
Ce 0.5286 0.2200 0.6512  2 Co 2.72-2.87, 1 Ce 2.77
Ce 0.9714 0.2200 0.1512  2 Co 2.72-2.87, 1 Ce 2.77
Ce 0.0286 0.7800 0.8488  2 Co 2.72-2.87, 1 Ce 2.77
Ce 0.1381 0.6156 0.5478  2 Ce 2.73-2.77, 1 Co 2.81
Ce 0.8619 0.3844 0.4522  2 Ce 2.73-2.77, 1 Co 2.81
Ce 0.6381 0.3844 0.9522  2 Ce 2.73-2.77, 1 Co 2.81
Ce 0.3619 0.6156 0.0478  2 Ce 2.73-2.77, 1 Co 2.81
Pm 0.9324 0.6739 0.2167  2 Co 3.22-3.35, 7 Ce 3.39-3.54
Pm 0.0676 0.3261 0.7833  2 Co 3.22-3.35, 7 Ce 3.39-3.54
Pm 0.4324 0.3261 0.2833  2 Co 3.22-3.35, 7 Ce 3.39-3.54
Pm 0.5676 0.6739 0.7167  2 Co 3.22-3.35, 7 Ce 3.39-3.54
Co 0.2986 0.9516 0.6384  1 Ce 2.31
Co 0.7014 0.0484 0.3616  1 Ce 2.31
Co 0.7986 0.0484 0.8616  1 Ce 2.31
Co 0.2014 0.9516 0.1384  1 Ce 2.31

Relative energies in eV/atom: run A 0.090; run B 0.000

Run A
Density functional theory data (PBE) for a relaxed structure of CePr2Co.

Cell lengths 6.5033, 6.8897, 9.9817 Å; angles 90.00, 90.00, 90.00 degrees
With the nearest neighbours (Å) after each atom.
Fractional positions:
Ce 0.6611 0.5603 0.2500  1 Co 2.26
Ce 0.8389 0.0603 0.2500  1 Co 2.26
Ce 0.3389 0.4397 0.7500  1 Co 2.26
Ce 0.1611 0.9397 0.7500  1 Co 2.26
Pr 0.1736 0.6628 0.0690  3 Co 3.02-3.37
Pr 0.3264 0.1628 0.4310  3 Co 3.02-3.37
Pr 0.8264 0.3372 0.5690  3 Co 3.02-3.37
Pr 0.6736 0.8372 0.9310  3 Co 3.02-3.37
Pr 0.8264 0.3372 0.9310  3 Co 3.02-3.37
Pr 0.6736 0.8372 0.5690  3 Co 3.02-3.37
Pr 0.1736 0.6628 0.4310  3 Co 3.02-3.37
Pr 0.3264 0.1628 0.0690  3 Co 3.02-3.37
Co 0.9978 0.3525 0.2500  1 Ce 2.26
Co 0.5022 0.8525 0.2500  1 Ce 2.26
Co 0.0022 0.6475 0.7500  1 Ce 2.26
Co 0.4978 0.1475 0.7500  1 Ce 2.26

Run B
Density functional theory data (PBE) for a relaxed structure of CePr2Co.

Cell lengths 3.6710, 3.6710, 10.6963 Å; angles 80.12, 80.12, 60.00 degrees
With the nearest neighbours (Å) after each atom.
Fractional positions:
Pr 0.1116 0.1116 0.6653  3 Co 2.74
Pr 0.8884 0.8884 0.3347  3 Co 2.74
Co 0.5000 0.5000 0.5000  6 Pr 2.74
Ce 0.0000 0.0000 0.0000  2 Pr 3.51, 6 Ce 3.67

Relative energies in eV/atom: run A 0.000; run B 0.393

Run A
Density functional theory data (PBE) for a relaxed structure of CePrCo4.

Cell lengths 3.9022, 5.6468, 5.6466 Å; angles 91.50, 69.78, 69.79 degrees
With the nearest neighbours (Å) after each atom.
Fractional positions:
Ce 0.0000 0.5000 0.0000  12 Co 3.00-3.08
Pr 0.0000 0.0000 0.5000  12 Co 3.03-3.06
Co 0.6655 0.5792 0.5897  3 Co 2.27
Co 0.3345 0.4208 0.4103  3 Co 2.27
Co 0.3345 0.9102 0.9208  3 Co 2.27
Co 0.6655 0.0898 0.0792  3 Co 2.27

Run B
Density functional theory data (PBE) for a relaxed structure of CePrCo4.

Cell lengths 5.0786, 5.0786, 5.0786 Å; angles 60.00, 60.00, 60.00 degrees
With the nearest neighbours (Å) after each atom.
Fractional positions:
Pr 0.2500 0.2500 0.2500  12 Co 2.98, 4 Ce 3.11
Co 0.6256 0.6256 0.1233  6 Co 2.53-2.55
Co 0.6256 0.1233 0.6256  6 Co 2.53-2.55
Co 0.6256 0.6256 0.6256  6 Co 2.53-2.55
Co 0.1233 0.6256 0.6256  6 Co 2.53-2.55
Ce 0.0000 0.0000 0.0000  12 Co 2.98, 4 Pr 3.11

Relative energies in eV/atom: run A 0.024; run B 0.000

Run A
Density functional theory data (PBE) for a relaxed structure of CePrCo2.

Cell lengths 4.2666, 4.2666, 5.7926 Å; angles 68.39, 68.39, 60.00 degrees
With the nearest neighbours (Å) after each atom.
Fractional positions:
Pr 0.5000 0.5000 0.5000  8 Co 3.18-3.24
Co 0.7059 0.7059 0.8823  3 Ce 2.54, 3 Co 2.76
Co 0.2941 0.2941 0.1177  3 Ce 2.54, 3 Co 2.76
Ce 0.0000 0.0000 0.0000  6 Co 2.54

Run B
Density functional theory data (PBE) for a relaxed structure of CePrCo2.

Cell lengths 6.2081, 6.2573, 9.0105 Å; angles 90.00, 108.11, 90.00 degrees
With the nearest neighbours (Å) after each atom.
Fractional positions:
Ce 0.5384 0.8701 0.3419  2 Co 2.20-2.29
Ce 0.4616 0.1299 0.6581  2 Co 2.20-2.29
Ce 0.9616 0.8701 0.1581  2 Co 2.20-2.29
Ce 0.0384 0.1299 0.8419  2 Co 2.20-2.29
Pr 0.9566 0.6345 0.6548  4 Co 2.86-3.12
Pr 0.0434 0.3655 0.3452  4 Co 2.86-3.12
Pr 0.5434 0.6345 0.8452  4 Co 2.86-3.12
Pr 0.4566 0.3655 0.1548  4 Co 2.86-3.12
Co 0.9168 0.3309 0.0132  1 Ce 2.29, 2 Co 2.40-2.45
Co 0.0832 0.6691 0.9868  1 Ce 2.29, 2 Co 2.40-2.45
Co 0.5832 0.3309 0.4868  1 Ce 2.29, 2 Co 2.40-2.45
Co 0.4168 0.6691 0.5132  1 Ce 2.29, 2 Co 2.40-2.45
Co 0.5670 0.1239 0.9143  1 Ce 2.20, 1 Co 2.45
Co 0.4330 0.8761 0.0857  1 Ce 2.20, 1 Co 2.45
Co 0.9330 0.1239 0.5857  1 Ce 2.20, 1 Co 2.45
Co 0.0670 0.8761 0.4143  1 Ce 2.20, 1 Co 2.45

Run C
Density functional theory data (PBE) for a relaxed structure of CePrCo2.

Cell lengths 4.8302, 4.8302, 4.8302 Å; angles 60.00, 60.00, 60.00 degrees
With the nearest neighbours (Å) after each atom.
Fractional positions:
Pr 0.5000 0.5000 0.5000  8 Co 2.96
Co 0.2500 0.2500 0.2500  4 Ce 2.96, 4 Pr 2.96
Co 0.7500 0.7500 0.7500  4 Pr 2.96, 4 Ce 2.96
Ce 0.0000 0.0000 0.0000  8 Co 2.96

Relative energies in eV/atom: run A 0.012; run B 0.000; run C 0.197